1.
The following is a PBE calculation of a relaxed TiBe2IO crystal, from Alexandria.

The total magnetic moment is 0.0 Bohr magnetons per cell. The calculation puts the density of states at the Fermi level at 2.69 states/eV/f.u. The value obtained for the formation energy from raw total energies is 0.116 eV/atom. As for the crystal system: tetragonal. For the total energy, the calculation gives -4.25 eV/atom.

The structure belongs to space group P4/mmm (No. 123); the cell edges are 4.996, 4.996 and 3.742 Å and the angles 90.00°, 90.00° and 90.00°. Symmetry generates all atoms from Ti at (0.000, 0.000, 0.000), Be at (0.000, 0.500, 0.000), I at (0.500, 0.500, 0.500) and O at (0.000, 0.000, 0.500).



2.
The following is a PBE calculation of a relaxed BeTlIO2 crystal, from Alexandria.

The total magnetic moment is 0.0 Bohr magnetons per cell. The calculation puts the density of states at the Fermi level at 1.54 states/eV/f.u. The value obtained for the formation energy from raw total energies is 0.449 eV/atom. As for the crystal system: tetragonal. For the total energy, the calculation gives -3.06 eV/atom. Its energy relative to the lowest polymorph listed for this composition is 47.4 kJ per mole of atoms.

The structure belongs to space group P4/mmm (No. 123); the cell edges are 4.084, 4.084 and 7.036 Å and the angles 90.00°, 90.00° and 90.00°. Symmetry generates all atoms from Be at (0.000, 0.000, 0.000), Tl at (0.500, 0.500, 0.500), I at (0.500, 0.500, 0.000) and O at (0.000, 0.500, 0.500).



3.
The following is a PBE calculation of a relaxed BeTlIO2 crystal, from Alexandria.

The total magnetic moment is 1.2 Bohr magnetons per cell. The calculation puts the density of states at the Fermi level at 2.07 states/eV/f.u. The value obtained for the formation energy from raw total energies is -0.042 eV/atom. As for the crystal system: tetragonal. For the total energy, the calculation gives -3.55 eV/atom. Its energy relative to the lowest polymorph listed for this composition is 0.0 kJ per mole of atoms.

The structure belongs to space group P4/mmm (No. 123); the cell edges are 4.036, 4.036 and 5.287 Å and the angles 90.00°, 90.00° and 90.00°. Symmetry generates all atoms from Be at (0.000, 0.000, 0.000), Tl at (0.500, 0.500, 0.500), I at (0.000, 0.000, 0.500) and O at (0.000, 0.500, 0.000).



Question: Which formula does entry 2 have?
Answer: BeTlIO2



Question: What is the total magnetic moment in the first record?
Answer: 0.0 Bohr magnetons per cell